Below is an optimized crystal structure of Tb4TlCo, with properties calculated at the GGA-PBE level.

```
Tb4TlCo
1.0
6.819 0.000 -0.146
0.000 6.998 0.000
-0.227 0.000 7.400
Tb Tl Co
8 2 2
Direct
0.895 0.635 0.194
0.605 0.135 0.806
0.319 0.338 0.368
0.181 0.838 0.632
0.105 0.365 0.806
0.395 0.865 0.194
0.681 0.662 0.632
0.819 0.162 0.368
0.000 0.000 0.000
0.500 0.500 0.000
0.500 0.000 0.500
0.000 0.500 0.500
```

Calculated values
- Calculated total energy: -4.76 eV per atom
- Formation energy: -91 meV per atom
- Symmetry: P2_1/c (14)

Below is an optimized crystal structure of LaZn2CoSn, with properties calculated at the GGA-PBE level.

```
LaZn2CoSn
1.0
4.694 0.000 0.000
0.000 4.694 0.000
0.000 0.000 4.816
Zn Co Sn La
2 1 1 1
Direct
0.000 0.500 0.000
0.500 0.000 0.000
0.000 0.000 0.000
0.000 0.000 0.500
0.500 0.500 0.500
```

Calculated values
- Calculated total energy: -4.00 eV per atom
- Formation energy: -282 meV per atom
- Symmetry: P4/mmm (123)